Record 1
# Be2ZnTe

A geometry-optimized Be2ZnTe structure (PBE, the Alexandria database).

Values from the calculation:
Offset from the most stable computed form ... 0.4324 eV per atom
Calculated volume ... 65.3 Å³ per cell
Space group ... Cmmm, No. 65

a b c (Å): 4.430 4.430 3.487
angles (deg): 90.00 90.00 107.49
Fractional coordinates of all 4 atoms:
Be 0.000 0.000 0.000
Be 0.500 0.500 0.000
Zn 0.000 0.500 0.500
Te 0.500 0.000 0.500



Record 2
# Be2ZnTe

A geometry-optimized Be2ZnTe structure (PBE, the Alexandria database).

Values from the calculation:
Offset from the most stable computed form ... 0.4255 eV per atom
Calculated volume ... 64.3 Å³ per cell
Space group ... Immm, No. 71

a b c (Å): 4.764 4.764 4.764
angles (deg): 135.46 119.15 78.47
Fractional coordinates of all 4 atoms:
Be 0.014 0.014 0.000
Te 0.750 0.250 0.500
Be 0.486 0.486 0.000
Zn 0.250 0.750 0.500



Record 3
# BeZn2Te

A geometry-optimized BeZn2Te structure (PBE, the Alexandria database).

Values from the calculation:
Offset from the most stable computed form ... 0.1594 eV per atom
Calculated volume ... 84.1 Å³ per cell
Space group ... Imm2, No. 44

a b c (Å): 4.966 4.966 4.966
angles (deg): 130.98 99.75 100.07
Fractional coordinates of all 4 atoms:
Zn 0.275 0.775 0.500
Te 0.716 0.216 0.500
Be 0.447 0.447 0.000
Zn 0.061 0.061 0.000



Record 4
# Be2ZnTe

A geometry-optimized Be2ZnTe structure (PBE, the Alexandria database).

Values from the calculation:
Offset from the most stable computed form ... 0.4076 eV per atom
Calculated volume ... 65.2 Å³ per cell
Space group ... C2/m, No. 12

a b c (Å): 5.668 4.411 3.583
angles (deg): 81.16 66.87 118.87
Fractional coordinates of all 4 atoms:
Be 0.000 0.000 0.000
Te 0.000 0.500 0.500
Be 0.500 0.000 0.500
Zn 0.500 0.500 0.000



Record 5
# Be2ZnTe

A geometry-optimized Be2ZnTe structure (PBE, the Alexandria database).

Values from the calculation:
Offset from the most stable computed form ... 0.1816 eV per atom
Calculated volume ... 67.6 Å³ per cell
Space group ... P2/m, No. 10

a b c (Å): 3.981 2.974 5.903
angles (deg): 75.23 90.00 90.00
Fractional coordinates of all 4 atoms:
Be 0.000 0.089 0.602
Be 0.000 0.411 0.898
Zn 0.500 0.750 0.750
Te 0.500 0.250 0.250



Record 6
# BeZn2Te

A geometry-optimized BeZn2Te structure (PBE, the Alexandria database).

Values from the calculation:
Offset from the most stable computed form ... 0.2232 eV per atom
Calculated volume ... 179.8 Å³ per cell
Space group ... I-42d, No. 122

a b c (Å): 6.431 6.431 6.291
angles (deg): 59.26 59.26 90.00
Fractional coordinates of all 8 atoms:
Te 0.000 0.000 0.000
Te 0.750 0.250 0.500
Zn 0.167 0.625 0.250
Be 0.500 0.500 0.000
Be 0.250 0.750 0.500
Zn 0.875 0.833 0.750
Zn 0.375 0.417 0.750
Zn 0.583 0.125 0.250



Record 7
# BeZn2Te

A geometry-optimized BeZn2Te structure (PBE, the Alexandria database).

Values from the calculation:
Offset from the most stable computed form ... 0.0609 eV per atom
Calculated volume ... 76.7 Å³ per cell
Space group ... Pm, No. 6

a b c (Å): 3.610 3.842 5.855
angles (deg): 70.94 90.00 90.00
Fractional coordinates of all 4 atoms:
Be 0.000 0.719 0.435
Zn 0.000 0.924 0.028
Te 0.500 0.572 0.732
Zn 0.500 0.285 0.304



Record 8
# BeZn2Te

A geometry-optimized BeZn2Te structure (PBE, the Alexandria database).

Values from the calculation:
Offset from the most stable computed form ... 0.0791 eV per atom
Calculated volume ... 73.4 Å³ per cell
Space group ... C2/m, No. 12

a b c (Å): 4.149 4.149 5.447
angles (deg): 78.71 78.71 53.37
Fractional coordinates of all 4 atoms:
Te 0.250 0.250 0.250
Zn 0.476 0.476 0.594
Be 0.750 0.750 0.750
Zn 0.024 0.024 0.906



Record 9
# BeZn2Te

A geometry-optimized BeZn2Te structure (PBE, the Alexandria database).

Values from the calculation:
Offset from the most stable computed form ... 0.1943 eV per atom
Calculated volume ... 79.7 Å³ per cell
Space group ... Cmm2, No. 35

a b c (Å): 3.765 3.765 6.084
angles (deg): 90.00 90.00 112.43
Fractional coordinates of all 4 atoms:
Zn 0.500 0.500 0.271
Te 0.500 0.500 0.723
Be 0.000 0.000 0.452
Zn 0.000 0.000 0.054



Record 10
# Be2ZnTe

A geometry-optimized Be2ZnTe structure (PBE, the Alexandria database).

Values from the calculation:
Offset from the most stable computed form ... 0.3157 eV per atom
Calculated volume ... 67.1 Å³ per cell
Space group ... Cmm2, No. 35

a b c (Å): 3.218 3.218 6.595
angles (deg): 90.00 90.00 100.84
Fractional coordinates of all 4 atoms:
Be 0.500 0.500 0.191
Be 0.000 0.000 0.035
Te 0.000 0.000 0.429
Zn 0.500 0.500 0.846



Record 11
# Be2ZnTe

A geometry-optimized Be2ZnTe structure (PBE, the Alexandria database).

Values from the calculation:
Offset from the most stable computed form ... 0.1006 eV per atom
Calculated volume ... 74.5 Å³ per cell
Space group ... Pm, No. 6

a b c (Å): 3.657 3.938 5.190
angles (deg): 85.37 90.00 90.00
Fractional coordinates of all 4 atoms:
Te 0.000 0.183 0.462
Be 0.500 0.254 0.172
Zn 0.500 0.778 0.936
Be 0.000 0.285 0.930



Record 12
# BeZn2Te

A geometry-optimized BeZn2Te structure (PBE, the Alexandria database).

Values from the calculation:
Offset from the most stable computed form ... 0.1070 eV per atom
Calculated volume ... 76.4 Å³ per cell
Space group ... P4mm, No. 99

a b c (Å): 3.672 3.672 5.669
angles (deg): 90.00 90.00 90.00
Fractional coordinates of all 4 atoms:
Te 0.500 0.500 0.625
Zn 0.000 0.000 0.125
Be 0.000 0.000 0.626
Zn 0.500 0.500 0.124



Question: Among the records above, which one has the highest offset from the most stable computed form?
Answer: number 1



Question: What is the formula in the third record?
Answer: BeZn2Te



Question: Which value of calculated volume does entry 6 give?
Answer: 179.8 Å³ per cell